Record 1
This record from Alexandria via LeMat-Bulk describes a geometry-optimized NaPaTlAu structure. The functional is PBE-GGA.

Density, g/cm3: 11.3
Total magnetization, μB per cell: 0.28

Cell and atoms, written as POSCAR:
```
NaPaTlAu
1.0
0.0000 3.6406 3.6406
3.6406 0.0000 3.6406
3.6406 3.6406 0.0000
Na Pa Tl Au
1 1 1 1
Direct
0.0000 0.0000 0.0000
0.5000 0.5000 0.5000
0.7500 0.7500 0.7500
0.2500 0.2500 0.2500
```

Record 2
This record from Alexandria via LeMat-Bulk describes a geometry-optimized NaPaZnAu structure. The functional is PBE-GGA.

Density, g/cm3: 9.9
Total magnetization, μB per cell: 0.00

Cell and atoms, written as POSCAR:
```
NaPaZnAu
1.0
0.0000 3.5115 3.5115
3.5115 0.0000 3.5115
3.5115 3.5115 0.0000
Na Pa Zn Au
1 1 1 1
Direct
0.0000 0.0000 0.0000
0.5000 0.5000 0.5000
0.2500 0.2500 0.2500
0.7500 0.7500 0.7500
```

Record 3
This record from Alexandria via LeMat-Bulk describes a geometry-optimized NaPb5Au structure. The functional is PBE-GGA.

Density, g/cm3: 10.2
Total magnetization, μB per cell: 0.00

Cell and atoms, written as POSCAR:
```
NaPb5Au
1.0
4.4560 -3.5947 0.0000
4.4560 3.5947 0.0000
0.0000 0.0000 12.7582
Na Pb Au
2 10 2
Direct
0.0000 0.0000 0.0000
0.0000 0.0000 0.5000
0.1784 0.4411 0.1174
0.1784 0.4411 0.3826
0.3007 0.6993 0.7500
0.4411 0.1784 0.6175
0.4411 0.1784 0.8826
0.5589 0.8216 0.1174
0.5589 0.8216 0.3826
0.6993 0.3007 0.2500
0.8216 0.5589 0.6175
0.8216 0.5589 0.8826
0.1039 0.8961 0.2500
0.8961 0.1039 0.7500
```

Record 4
This record from Alexandria via LeMat-Bulk describes a geometry-optimized Na3Pb12Au structure. The functional is PBE-GGA.

Density, g/cm3: 9.8
Total magnetization, μB per cell: 0.00

Cell and atoms, written as POSCAR:
```
Na3Pb12Au
1.0
4.8414 0.0000 0.0000
0.0000 4.8414 0.0000
0.0000 0.0000 19.9786
Na Pb Au
3 12 1
Direct
0.0000 0.0000 0.0000
0.0000 0.0000 0.2518
0.0000 0.0000 0.7482
0.0000 0.5000 0.1268
0.0000 0.5000 0.3815
0.0000 0.5000 0.6185
0.0000 0.5000 0.8732
0.5000 0.0000 0.1268
0.5000 0.0000 0.3815
0.5000 0.0000 0.6185
0.5000 0.0000 0.8732
0.5000 0.5000 0.0000
0.5000 0.5000 0.2539
0.5000 0.5000 0.5000
0.5000 0.5000 0.7461
0.0000 0.0000 0.5000
```

Record 5
This record from Alexandria via LeMat-Bulk describes a geometry-optimized Na8PbAu6 structure. The functional is PBE-GGA.

Density, g/cm3: 6.8
Total magnetization, μB per cell: 0.00

Cell and atoms, written as POSCAR:
```
Na8PbAu6
1.0
4.2995 2.4823 6.0073
-4.2995 2.4823 6.0073
0.0000 -4.9647 6.0073
Na Pb Au
8 1 6
Direct
0.0579 0.3785 0.7092
0.1673 0.1673 0.1673
0.2908 0.9421 0.6215
0.3785 0.7092 0.0579
0.6215 0.2908 0.9421
0.7092 0.0579 0.3785
0.8327 0.8327 0.8327
0.9421 0.6215 0.2908
0.5000 0.5000 0.5000
0.1112 0.7947 0.4539
0.2053 0.5461 0.8888
0.4539 0.1112 0.7947
0.5461 0.8888 0.2053
0.7947 0.4539 0.1112
0.8888 0.2053 0.5461
```

Record 6
This record from Alexandria via LeMat-Bulk describes a geometry-optimized Na5PbAu structure. The functional is PBE-GGA.

Density, g/cm3: 4.3
Total magnetization, μB per cell: 0.00
E above lowest polymorph, eV/f.u.: 0.00

Cell and atoms, written as POSCAR:
```
Na5PbAu
1.0
7.9485 -4.4200 0.0000
7.9485 4.4200 0.0000
-2.4648 0.0000 5.7643
Na Pb Au
10 2 2
Direct
0.0637 0.2808 0.9211
0.1819 0.8181 0.7500
0.2808 0.0637 0.4211
0.3784 0.3790 0.8791
0.3790 0.3784 0.3791
0.6210 0.6216 0.6209
0.6216 0.6210 0.1209
0.7192 0.9363 0.5789
0.8181 0.1819 0.2500
0.9363 0.7192 0.0789
0.0000 0.5000 0.5000
0.5000 0.0000 0.0000
0.2842 0.7158 0.2500
0.7158 0.2842 0.7500
```

Record 7
This record from Alexandria via LeMat-Bulk describes a geometry-optimized Na8Pb3Au2 structure. The functional is PBE-GGA.

Density, g/cm3: 5.5
Total magnetization, μB per cell: 0.00

Cell and atoms, written as POSCAR:
```
Na8Pb3Au2
1.0
7.6733 0.0000 0.0000
0.0000 4.9927 0.0000
-2.4940 0.0000 9.4018
Na Pb Au
8 3 2
Direct
0.0585 0.0000 0.3422
0.1330 0.5000 0.8953
0.3368 0.5000 0.2607
0.4054 0.0000 0.8246
0.5946 0.0000 0.1754
0.6632 0.5000 0.7393
0.8670 0.5000 0.1047
0.9415 0.0000 0.6578
0.2179 0.5000 0.5783
0.5000 0.0000 0.5000
0.7821 0.5000 0.4217
0.1847 0.0000 0.0682
0.8153 0.0000 0.9318
```

Record 8
This record from Alexandria via LeMat-Bulk describes a geometry-optimized Na2PbAu structure. The functional is PBE-GGA.

Density, g/cm3: 6.5
Total magnetization, μB per cell: 0.00

Cell and atoms, written as POSCAR:
```
Na2PbAu
1.0
2.0643 -13.0626 0.0000
2.0643 13.0626 0.0000
0.0000 0.0000 4.2708
Na Pb Au
4 2 2
Direct
0.0540 0.9460 0.7500
0.2488 0.7512 0.2500
0.7512 0.2488 0.7500
0.9460 0.0540 0.2500
0.3634 0.6366 0.7500
0.6366 0.3634 0.2500
0.1664 0.8336 0.7500
0.8336 0.1664 0.2500
```

Number 1: formation enthalpy at 0 K 30.0 meV per atom. Number 2: formation enthalpy at 0 K 30.4 meV per atom. Number 3: formation enthalpy at 0 K -30.1 meV per atom. Number 4: formation enthalpy at 0 K -71.5 meV per atom. Number 5: formation enthalpy at 0 K -233.5 meV per atom. Number 6: formation enthalpy at 0 K -178.1 meV per atom. Number 7: formation enthalpy at 0 K -191.9 meV per atom. Number 8: formation enthalpy at 0 K -124.9 meV per atom.